[1]
First-principles (PBE) data for crystalline La2Pb2Au at its relaxed geometry, as listed in Alexandria via LeMat-Bulk.

Cell and atoms, written as POSCAR:
```
La2Pb2Au
1.0
5.9414 -2.3795 0.0000
5.9414 2.3795 0.0000
-5.2906 0.0000 10.5620
La Pb Au
4 4 2
Direct
0.0006 0.0006 0.3268
0.1809 0.1809 0.1184
0.8191 0.8191 0.8816
0.9994 0.9994 0.6732
0.3478 0.3478 0.4474
0.4542 0.4542 0.1096
0.5458 0.5458 0.8904
0.6522 0.6522 0.5526
0.2897 0.2897 0.6782
0.7103 0.7103 0.3218
```

Results
Spin magnetization (μB per cell): 0.000
Volume (Å³ per cell): 298.6
Density of states at the Fermi level (states/eV/cell): 8.8
SG: C2/m, No. 12
Excess energy over the best structure of this formula in the dataset (eV per atom): 0.000



[2]
First-principles (PBE) data for crystalline BiHPdRh2 at its relaxed geometry, as listed in Alexandria via LeMat-Bulk.

Cell and atoms, written as POSCAR:
```
BiHPdRh2
1.0
4.1439 0.0000 0.0000
0.0000 4.1439 0.0000
0.0000 0.0000 4.0454
Bi H Pd Rh
1 1 1 2
Direct
0.0000 0.0000 0.0000
0.5000 0.5000 0.5000
0.5000 0.5000 0.0000
0.0000 0.5000 0.5000
0.5000 0.0000 0.5000
```

Results
Spin magnetization (μB per cell): 0.000
Volume (Å³ per cell): 69.5
Density of states at the Fermi level (states/eV/cell): 2.6
SG: P4/mmm, No. 123
Total DFT energy (no corrections) (eV per atom): -5.5289



[3]
First-principles (PBE) data for crystalline Li4Cd3Sn4 at its relaxed geometry, as listed in Alexandria via LeMat-Bulk.

Cell and atoms, written as POSCAR:
```
Li4Cd3Sn4
1.0
3.2956 0.0000 0.0000
0.0015 5.0053 0.0000
0.7232 2.2962 15.2548
Li Cd Sn
4 3 4
Direct
0.1601 0.0555 0.3921
0.2264 0.6798 0.1463
0.7736 0.3202 0.8537
0.8399 0.9445 0.6079
0.2943 0.8509 0.7931
0.5000 0.5000 0.5000
0.7057 0.1491 0.2069
0.2464 0.2359 0.0306
0.2937 0.4010 0.6865
0.7063 0.5990 0.3135
0.7536 0.7641 0.9694
```

Results
Spin magnetization (μB per cell): 0.000
Volume (Å³ per cell): 251.6
Density of states at the Fermi level (states/eV/cell): 3.2
SG: P-1, No. 2
Total DFT energy (no corrections) (eV per atom): -2.5725



[4]
First-principles (PBE) data for crystalline PrThSn at its relaxed geometry, as listed in Alexandria via LeMat-Bulk.

Cell and atoms, written as POSCAR:
```
PrThSn
1.0
4.2129 0.0000 0.0000
0.0000 4.2129 0.0000
0.0000 0.0000 10.2379
Pr Th Sn
2 2 2
Direct
0.0000 0.0000 0.0000
0.5000 0.5000 0.5000
0.0000 0.0000 0.3065
0.5000 0.5000 0.8065
0.0000 0.0000 0.6530
0.5000 0.5000 0.1530
```

Results
Spin magnetization (μB per cell): 0.000
Volume (Å³ per cell): 181.7
Density of states at the Fermi level (states/eV/cell): 6.1
SG: I4mm, No. 107
Excess energy over the best structure of this formula in the dataset (eV per atom): 0.119



[5]
First-principles (PBE) data for crystalline LaTa4Ru at its relaxed geometry, as listed in Alexandria via LeMat-Bulk.

Cell and atoms, written as POSCAR:
```
LaTa4Ru
1.0
0.0000 3.9456 3.9456
3.9456 0.0000 3.9456
3.9456 3.9456 0.0000
La Ta Ru
1 4 1
Direct
0.0000 0.0000 0.0000
0.3749 0.3749 0.3749
0.3749 0.3749 0.8754
0.3749 0.8754 0.3749
0.8754 0.3749 0.3749
0.7500 0.7500 0.7500
```

Results
Spin magnetization (μB per cell): 0.000
Volume (Å³ per cell): 122.8
Density of states at the Fermi level (states/eV/cell): 5.6
SG: F-43m, No. 216
Total DFT energy (no corrections) (eV per atom): -9.8019



[6]
First-principles (PBE) data for crystalline TiCuPdRu2 at its relaxed geometry, as listed in Alexandria via LeMat-Bulk.

Cell and atoms, written as POSCAR:
```
TiCuPdRu2
1.0
4.4446 0.0000 0.0000
0.0000 4.4446 0.0000
0.0000 0.0000 4.3731
Ti Cu Pd Ru
1 1 1 2
Direct
0.0000 0.0000 0.0000
0.0000 0.0000 0.5000
0.5000 0.5000 0.0000
0.0000 0.5000 0.5000
0.5000 0.0000 0.5000
```

Results
Spin magnetization (μB per cell): 0.000
Volume (Å³ per cell): 86.4
Density of states at the Fermi level (states/eV/cell): 6.9
SG: P4/mmm, No. 123
Total DFT energy (no corrections) (eV per atom): -6.0406



[7]
First-principles (PBE) data for crystalline Tb2ThSi6 at its relaxed geometry, as listed in Alexandria via LeMat-Bulk.

Cell and atoms, written as POSCAR:
```
Tb2ThSi6
1.0
7.1246 0.0000 0.0000
-3.5623 6.1701 0.0000
0.0000 0.0000 4.0395
Tb Th Si
2 1 6
Direct
0.3333 0.6667 0.0000
0.6667 0.3333 0.0000
0.0000 0.0000 0.0000
0.0000 0.3351 0.5000
0.0000 0.6649 0.5000
0.3351 0.0000 0.5000
0.3351 0.3351 0.5000
0.6649 0.0000 0.5000
0.6649 0.6649 0.5000
```

Results
Spin magnetization (μB per cell): 0.000
Raw formation energy (eV per atom): -0.575
Volume (Å³ per cell): 177.6
Density of states at the Fermi level (states/eV/cell): 2.7
SG: P6/mmm, No. 191



[8]
First-principles (PBE) data for crystalline ZrAg2Au6 at its relaxed geometry, as listed in Alexandria via LeMat-Bulk.

Cell and atoms, written as POSCAR:
```
ZrAg2Au6
1.0
6.6625 -5.0779 0.0000
6.6625 5.0779 0.0000
-0.8871 0.0000 4.9711
Zr Ag Au
2 4 12
Direct
0.1366 0.8634 0.7500
0.8634 0.1366 0.2500
0.2023 0.4623 0.9189
0.4623 0.2023 0.4189
0.5377 0.7977 0.5811
0.7977 0.5377 0.0811
0.0066 0.7758 0.1969
0.0955 0.3504 0.3641
0.2242 0.9934 0.3031
0.3222 0.5652 0.4712
0.3504 0.0955 0.8641
0.4348 0.6778 0.0288
0.5652 0.3222 0.9712
0.6496 0.9045 0.1359
0.6778 0.4348 0.5288
0.7758 0.0066 0.6969
0.9045 0.6496 0.6359
0.9934 0.2242 0.8031
```

Results
Spin magnetization (μB per cell): 0.000
Volume (Å³ per cell): 336.4
Density of states at the Fermi level (states/eV/cell): 6.5
SG: C2/c, No. 15
Total DFT energy (no corrections) (eV per atom): -3.9520



[9]
First-principles (PBE) data for crystalline MnVTeI2 at its relaxed geometry, as listed in Alexandria via LeMat-Bulk.

Cell and atoms, written as POSCAR:
```
MnVTeI2
1.0
5.5794 0.0000 0.0000
0.0000 5.5794 0.0000
0.0000 0.0000 5.3027
Mn V Te I
1 1 1 2
Direct
0.0000 0.0000 0.0000
0.5000 0.5000 0.5000
0.5000 0.5000 0.0000
0.0000 0.5000 0.5000
0.5000 0.0000 0.5000
```

Results
Spin magnetization (μB per cell): 7.896
Raw formation energy (eV per atom): 0.392
Volume (Å³ per cell): 165.1
Density of states at the Fermi level (states/eV/cell): 3.9
SG: P4/mmm, No. 123
Excess energy over the best structure of this formula in the dataset (eV per atom): 0.000



[10]
First-principles (PBE) data for crystalline PrDy2TmSc2 at its relaxed geometry, as listed in Alexandria via LeMat-Bulk.

Cell and atoms, written as POSCAR:
```
PrDy2TmSc2
1.0
6.7911 0.0000 0.0000
0.0000 9.5294 0.0000
0.0000 0.0000 5.4699
Pr Dy Tm Sc
2 4 2 4
Direct
0.0000 0.0000 0.0000
0.5000 0.5000 0.5000
0.2460 0.3334 0.0000
0.2540 0.8334 0.5000
0.7460 0.1666 0.5000
0.7540 0.6666 0.0000
0.0000 0.5000 0.5000
0.5000 0.0000 0.0000
0.2494 0.1669 0.5000
0.2506 0.6669 0.0000
0.7494 0.3331 0.0000
0.7506 0.8331 0.5000
```

Results
Spin magnetization (μB per cell): 0.000
Volume (Å³ per cell): 354.0
Density of states at the Fermi level (states/eV/cell): 19.8
SG: Pnnm, No. 58
Total DFT energy (no corrections) (eV per atom): -5.1085



[11]
First-principles (PBE) data for crystalline NaZnGaHg2 at its relaxed geometry, as listed in Alexandria via LeMat-Bulk.

Cell and atoms, written as POSCAR:
```
NaZnGaHg2
1.0
5.2996 0.0000 0.0000
0.0000 5.2996 0.0000
0.0000 0.0000 4.9120
Na Zn Ga Hg
1 1 1 2
Direct
0.0000 0.0000 0.0000
0.5000 0.5000 0.5000
0.5000 0.5000 0.0000
0.0000 0.5000 0.5000
0.5000 0.0000 0.5000
```

Results
Spin magnetization (μB per cell): 0.000
Volume (Å³ per cell): 138.0
Density of states at the Fermi level (states/eV/cell): 2.6
SG: P4/mmm, No. 123
Excess energy over the best structure of this formula in the dataset (eV per atom): 0.000



[12]
First-principles (PBE) data for crystalline ZrPCS2 at its relaxed geometry, as listed in Alexandria via LeMat-Bulk.

Cell and atoms, written as POSCAR:
```
ZrPCS2
1.0
4.9132 0.0000 0.0000
0.0000 4.9132 0.0000
0.0000 0.0000 5.1822
Zr P C S
1 1 1 2
Direct
0.0000 0.0000 0.0000
0.0000 0.0000 0.5000
0.5000 0.5000 0.5000
0.0000 0.5000 0.0000
0.5000 0.0000 0.0000
```

Results
Spin magnetization (μB per cell): 0.725
Raw formation energy (eV per atom): 1.347
Volume (Å³ per cell): 125.1
Density of states at the Fermi level (states/eV/cell): 6.1
SG: P4/mmm, No. 123
Excess energy over the best structure of this formula in the dataset (eV per atom): 0.879



[13]
First-principles (PBE) data for crystalline TlCd3P at its relaxed geometry, as listed in Alexandria via LeMat-Bulk.

Cell and atoms, written as POSCAR:
```
TlCd3P
1.0
5.2062 0.0000 0.0000
0.0000 5.2062 0.0000
0.0000 0.0000 5.2062
Tl Cd P
1 3 1
Direct
0.0000 0.0000 0.0000
0.0000 0.5000 0.5000
0.5000 0.0000 0.5000
0.5000 0.5000 0.0000
0.5000 0.5000 0.5000
```

Results
Spin magnetization (μB per cell): 0.000
Volume (Å³ per cell): 141.1
Density of states at the Fermi level (states/eV/cell): 2.0
SG: Pm-3m, No. 221
Excess energy over the best structure of this formula in the dataset (eV per atom): 0.000



[14]
First-principles (PBE) data for crystalline Hf12FeRh6 at its relaxed geometry, as listed in Alexandria via LeMat-Bulk.

Cell and atoms, written as POSCAR:
```
Hf12FeRh6
1.0
5.7854 3.3402 3.5796
-5.7854 3.3402 3.5796
0.0000 -6.6804 3.5796
Hf Fe Rh
12 1 6
Direct
0.0437 0.9345 0.6853
0.0655 0.3147 0.9563
0.1758 0.5851 0.4257
0.3147 0.9563 0.0655
0.4149 0.5743 0.8242
0.4257 0.1758 0.5851
0.5743 0.8242 0.4149
0.5851 0.4257 0.1758
0.6853 0.0437 0.9345
0.8242 0.4149 0.5743
0.9345 0.6853 0.0437
0.9563 0.0655 0.3147
0.0000 0.0000 0.0000
0.1361 0.3066 0.6172
0.3066 0.6172 0.1361
0.3828 0.8639 0.6934
0.6172 0.1361 0.3066
0.6934 0.3828 0.8639
0.8639 0.6934 0.3828
```

Results
Spin magnetization (μB per cell): 0.000
Volume (Å³ per cell): 415.0
Density of states at the Fermi level (states/eV/cell): 20.8
SG: R-3, No. 148
Total DFT energy (no corrections) (eV per atom): -9.3738



[15]
First-principles (PBE) data for crystalline CdSn2B at its relaxed geometry, as listed in Alexandria via LeMat-Bulk.

Cell and atoms, written as POSCAR:
```
CdSn2B
1.0
7.0256 0.0000 0.0000
0.0000 7.0256 0.0000
0.0000 0.0000 7.0256
Cd Sn B
4 8 4
Direct
0.0000 0.0000 0.0000
0.0000 0.5000 0.5000
0.5000 0.0000 0.5000
0.5000 0.5000 0.0000
0.2500 0.2500 0.2500
0.2500 0.2500 0.7500
0.2500 0.7500 0.2500
0.2500 0.7500 0.7500
0.7500 0.2500 0.2500
0.7500 0.2500 0.7500
0.7500 0.7500 0.2500
0.7500 0.7500 0.7500
0.0000 0.0000 0.5000
0.0000 0.5000 0.0000
0.5000 0.0000 0.0000
0.5000 0.5000 0.5000
```

Results
Spin magnetization (μB per cell): 0.000
Volume (Å³ per cell): 346.8
Density of states at the Fermi level (states/eV/cell): 9.0
SG: Fm-3m, No. 225
Excess energy over the best structure of this formula in the dataset (eV per atom): 0.429



[16]
First-principles (PBE) data for crystalline TcHgMoPt2 at its relaxed geometry, as listed in Alexandria via LeMat-Bulk.

Cell and atoms, written as POSCAR:
```
TcHgMoPt2
1.0
4.8842 0.0000 0.0000
0.0000 4.8842 0.0000
0.0000 0.0000 4.6411
Tc Hg Mo Pt
1 1 1 2
Direct
0.0000 0.0000 0.0000
0.5000 0.5000 0.5000
0.0000 0.0000 0.5000
0.0000 0.5000 0.0000
0.5000 0.0000 0.0000
```

Results
Spin magnetization (μB per cell): 0.920
Volume (Å³ per cell): 110.7
Density of states at the Fermi level (states/eV/cell): 4.7
SG: P4/mmm, No. 123
Total DFT energy (no corrections) (eV per atom): -5.5135



[17]
First-principles (PBE) data for crystalline CoSiSe2 at its relaxed geometry, as listed in Alexandria via LeMat-Bulk.

Cell and atoms, written as POSCAR:
```
CoSiSe2
1.0
3.6733 0.0000 0.0000
-1.8366 3.1812 0.0000
0.0000 0.0000 17.4779
Co Si Se
3 3 6
Direct
0.0000 0.0000 0.0000
0.3333 0.6667 0.6667
0.6667 0.3333 0.3333
0.0000 0.0000 0.5000
0.3333 0.6667 0.1667
0.6667 0.3333 0.8333
0.0000 0.0000 0.2581
0.0000 0.0000 0.7419
0.3333 0.6667 0.4086
0.3333 0.6667 0.9247
0.6667 0.3333 0.0753
0.6667 0.3333 0.5914
```

Results
Spin magnetization (μB per cell): 3.180
Raw formation energy (eV per atom): 0.056
Volume (Å³ per cell): 204.3
Density of states at the Fermi level (states/eV/cell): 7.1
SG: R-3m, No. 166



[18]
First-principles (PBE) data for crystalline Nd2AsP3Pd4 at its relaxed geometry, as listed in Alexandria via LeMat-Bulk.

Cell and atoms, written as POSCAR:
```
Nd2AsP3Pd4
1.0
4.3362 0.0000 0.0000
0.0000 4.3362 0.0000
0.0000 0.0000 9.6828
Nd As P Pd
2 1 3 4
Direct
0.0000 0.5000 0.2505
0.5000 0.0000 0.7495
0.0000 0.0000 0.5000
0.0000 0.5000 0.8706
0.5000 0.0000 0.1294
0.5000 0.5000 0.5000
0.0000 0.0000 0.0000
0.0000 0.5000 0.6248
0.5000 0.0000 0.3752
0.5000 0.5000 0.0000
```

Results
Spin magnetization (μB per cell): 0.000
Volume (Å³ per cell): 182.1
Density of states at the Fermi level (states/eV/cell): 3.5
SG: P-4m2, No. 115
Total DFT energy (no corrections) (eV per atom): -6.0254



[19]
First-principles (PBE) data for crystalline KLiCo2 at its relaxed geometry, as listed in Alexandria via LeMat-Bulk.

Cell and atoms, written as POSCAR:
```
KLiCo2
1.0
2.6161 0.0000 0.0000
0.0000 4.2544 0.0000
0.0000 0.0000 7.0883
K Li Co
1 1 2
Direct
0.0000 0.0000 0.0000
0.0000 0.0000 0.5000
0.5000 0.5000 0.3498
0.5000 0.5000 0.6502
```

Results
Spin magnetization (μB per cell): 3.352
Volume (Å³ per cell): 78.9
Density of states at the Fermi level (states/eV/cell): 3.8
SG: Pmmm, No. 47
Excess energy over the best structure of this formula in the dataset (eV per atom): 0.236



[20]
First-principles (PBE) data for crystalline Mg6Sn2Pb at its relaxed geometry, as listed in Alexandria via LeMat-Bulk.

Cell and atoms, written as POSCAR:
```
Mg6Sn2Pb
1.0
7.0742 0.0000 0.0000
0.0000 7.4704 0.0000
-6.5191 0.0000 8.4898
Mg Sn Pb
12 4 2
Direct
0.0478 0.1649 0.1212
0.0478 0.3351 0.6212
0.3055 0.1381 0.9628
0.3055 0.3619 0.4628
0.4498 0.6513 0.7100
0.4498 0.8487 0.2100
0.5502 0.1513 0.7900
0.5502 0.3487 0.2900
0.6945 0.6381 0.5372
0.6945 0.8619 0.0372
0.9522 0.6649 0.3788
0.9522 0.8351 0.8788
0.0992 0.5790 0.1655
0.0992 0.9210 0.6655
0.9008 0.0790 0.3345
0.9008 0.4210 0.8345
0.5000 0.0000 0.5000
0.5000 0.5000 0.0000
```

Results
Spin magnetization (μB per cell): 0.000
Volume (Å³ per cell): 448.7
Density of states at the Fermi level (states/eV/cell): 5.8
SG: P2_1/c, No. 14
Total DFT energy (no corrections) (eV per atom): -2.3915